Compound: CuTe7
Source: Alexandria via LeMat-Bulk
Functional: PBE-GGA
Structure: relaxed

The space group is No. 225. The value obtained for the density of states at the Fermi level is 1.20 states/eV/atom. The calculation puts the raw formation energy at 4.11 eV per formula unit. Its total magnetic moment is 0.000 μB per formula unit.

```
8
Lattice="0.0000 4.7677 4.7677 4.7677 0.0000 4.7677 4.7677 4.7677 0.0000" Properties=species:S:1:pos:R:3 pbc="T T T"
Cu 0.0000 0.0000 0.0000
Te 2.3839 2.3839 0.0000
Te 2.3839 0.0000 2.3839
Te 4.7677 2.3839 2.3839
Te 0.0000 2.3839 2.3839
Te 2.3839 4.7677 2.3839
Te 2.3839 2.3839 4.7677
Te 4.7677 4.7677 4.7677
```

=====

Compound: CaTcPt2
Source: Alexandria via LeMat-Bulk
Functional: PBE-GGA
Structure: relaxed

The space group is No. 44. The energy relative to the lowest polymorph listed for this composition is 0.1610 eV/atom. The value obtained for the density of states at the Fermi level is 0.95 states/eV/atom. The calculation puts the formation energy at -0.13 eV per atom. Its total magnetic moment is 0.000 μB per formula unit.

```
4
Lattice="-1.4205 2.3810 5.2494 1.4205 -2.3810 5.2494 1.4205 2.3810 -5.2494" Properties=species:S:1:pos:R:3 pbc="T T T"
Ca 0.0000 0.0000 0.0000
Tc 0.0000 2.3810 2.2333
Pt 1.4205 0.0000 2.7860
Pt 0.0000 0.0000 5.2353
```

=====

Compound: Ti7Co5Pt
Source: Alexandria via LeMat-Bulk
Functional: PBE-GGA
Structure: relaxed

The space group is No. 44. The value obtained for the density of states at the Fermi level is 0.98 states/eV/atom. The calculation puts the formation energy at -0.36 eV per atom. Its total magnetic moment is 0.003 μB per formula unit.

```
13
Lattice="-2.5012 4.3235 4.2570 2.5012 -4.3235 4.2570 2.5012 4.3235 -4.2570" Properties=species:S:1:pos:R:3 pbc="T T T"
Ti 0.0000 0.0000 0.0000
Ti 2.5012 1.6988 0.4855
Ti 0.0000 0.0000 3.0132
Ti 0.0000 2.9525 0.1375
Ti 0.0000 5.6945 0.1375
Ti 0.0000 4.3235 2.5408
Ti 0.0000 2.6247 4.7425
Co 1.2556 2.0824 -1.7058
Co 3.7468 2.0824 -1.7058
Co 2.5012 0.0000 2.2742
Co -1.2456 2.2411 2.5513
Co 1.2456 2.2411 2.5513
Pt 0.0000 0.0000 5.6061
```

=====

Compound: Tb2ErNpS6
Source: Alexandria via LeMat-Bulk
Functional: PBE-GGA
Structure: relaxed

The space group is No. 146. The value obtained for the density of states at the Fermi level is 0.66 states/eV/atom. The calculation puts the raw formation energy at -18.45 eV per formula unit. Its total magnetic moment is 4.000 μB per formula unit.

```
10
Lattice="3.4705 2.0037 6.2089 -3.4705 2.0037 6.2089 0.0000 -4.0074 6.2089" Properties=species:S:1:pos:R:3 pbc="T T T"
Tb 0.0000 0.0000 0.0000
Tb 0.0000 0.0000 9.2630
Er 0.0000 0.0000 13.0045
Np 0.0000 0.0000 3.7294
S -1.0774 -2.2009 8.0475
S -2.0599 -0.0241 11.1675
S -1.3674 2.0335 8.0475
S 1.0508 -1.7719 11.1675
S 2.4447 0.1674 8.0475
S 1.0091 1.7960 11.1675
```

=====

Compound: KAlMo2
Source: Alexandria via LeMat-Bulk
Functional: PBE-GGA
Structure: relaxed

The space group is No. 35. The value obtained for the density of states at the Fermi level is 0.92 states/eV/atom. The calculation puts the formation energy at 0.54 eV per atom. Its total magnetic moment is 0.000 μB per formula unit.

```
4
Lattice="1.6281 -2.3462 0.0000 1.6281 2.3462 0.0000 0.0000 0.0000 10.3486" Properties=species:S:1:pos:R:3 pbc="T T T"
K 0.0000 0.0000 0.0000
Al 1.6281 0.0000 7.3462
Mo 0.0000 0.0000 5.1632
Mo 1.6281 0.0000 3.1392
```

=====

Compound: BRu2Se
Source: Alexandria via LeMat-Bulk
Functional: PBE-GGA
Structure: relaxed

The space group is No. 225. The energy relative to the lowest polymorph listed for this composition is 0.2176 eV/atom. The value obtained for the density of states at the Fermi level is 0.58 states/eV/atom. The calculation puts the raw formation energy at 1.75 eV per formula unit. Its total magnetic moment is 0.000 μB per formula unit.

```
4
Lattice="0.0000 2.9249 2.9249 2.9249 0.0000 2.9249 2.9249 2.9249 0.0000" Properties=species:S:1:pos:R:3 pbc="T T T"
B 0.0000 0.0000 0.0000
Ru 1.4624 1.4624 1.4624
Ru 4.3873 4.3873 4.3873
Se 2.9249 2.9249 2.9249
```

=====

Q: Which of these has the highest total magnetic moment?
A: Tb2ErNpS6

=====

Q: Number 1 is which compound?
A: CuTe7

=====

Q: Among the records above, which one has the highest total magnetic moment?
A: Tb2ErNpS6

=====

Q: Look up the total magnetic moment of the fifth one.
A: 0.000 μB per formula unit